Record 1
Here is an optimized crystal structure of In3Ni from Alexandria. Energies are from PBE.

Cell lengths 4.360, 4.360, 8.765 Å; angles 90.00, 90.00, 90.00 degrees
Space group I4/mmm (No. 139)
Unique sites:
1 In 0.000 0.000 0.000 [2 per cell]
2 In 0.000 0.500 0.250 [4 per cell]
3 Ni 0.000 0.000 0.500 [2 per cell]

* calculated total energy: -3.291 eV per atom
* calculated volume: 20.8 Å³ per atom
* DOS at the Fermi energy: 4.0 states/eV per cell


Record 2
Here is an optimized crystal structure of KCaCl3 from Alexandria. Energies are from PBE.

Cell lengths 5.399, 5.399, 5.399 Å; angles 90.00, 90.00, 90.00 degrees
Space group Pm-3m (No. 221)
Unique sites:
1 K 0.000 0.000 0.000 [1 per cell]
2 Ca 0.500 0.500 0.500 [1 per cell]
3 Cl 0.000 0.500 0.500 [3 per cell]

* calculated total energy: -3.929 eV per atom
* calculated volume: 31.5 Å³ per atom
* DOS at the Fermi energy: 0.0 states/eV per cell
* formation energy without anion corrections: -2.201 eV/atom


Record 3
Here is an optimized crystal structure of Tb4CeEr6 from Alexandria. Energies are from PBE.

Cell lengths 5.653, 9.576, 25.555 Å; angles 90.00, 90.00, 90.00 degrees
Space group Cmcm (No. 63)
Unique sites:
1 Tb 0.000 0.019 0.122 [8 per cell]
2 Tb 0.000 0.339 0.042 [8 per cell]
3 Ce 0.000 0.320 0.750 [4 per cell]
4 Er 0.000 0.000 0.000 [4 per cell]
5 Er 0.000 0.014 0.250 [4 per cell]
6 Er 0.000 0.319 0.603 [8 per cell]
7 Er 0.000 0.349 0.182 [8 per cell]

* calculated total energy: -4.571 eV per atom
* calculated volume: 31.4 Å³ per atom
* DOS at the Fermi energy: 84.4 states/eV per cell


Record 4
Here is an optimized crystal structure of Sc2RuCl from Alexandria. Energies are from PBE.

Cell lengths 3.3507, 3.3507, 23.2763 Å; angles 90.00, 90.00, 120.00 degrees
Space group R-3m (No. 166, hexagonal axes)
Unique sites:
1 Sc 0.0000 0.0000 0.2446 [6 per cell]
2 Ru 0.0000 0.0000 0.5000 [3 per cell]
3 Cl 0.0000 0.0000 0.0000 [3 per cell]

* energy above the most stable polymorph in this dataset: 154 meV per atom
* calculated total energy: -6.784 eV per atom
* calculated volume: 18.9 Å³ per atom
* DOS at the Fermi energy: 5.5 states/eV per cell
* formation energy without anion corrections: -0.837 eV/atom


Record 5
Here is an optimized crystal structure of HfTi5Zn6 from Alexandria. Energies are from PBE.

Cell lengths 4.492, 6.338, 13.459 Å; angles 90.00, 90.00, 90.00 degrees
Space group Immm (No. 71)
Unique sites:
1 Hf 0.000 0.000 0.000 [2 per cell]
2 Ti 0.000 0.000 0.331 [4 per cell]
3 Ti 0.000 0.500 0.000 [2 per cell]
4 Ti 0.000 0.500 0.337 [4 per cell]
5 Zn 0.000 0.235 0.500 [4 per cell]
6 Zn 0.000 0.258 0.170 [8 per cell]

* calculated total energy: -4.937 eV per atom
* calculated volume: 16.0 Å³ per atom
* DOS at the Fermi energy: 6.8 states/eV per cell


Record 6
Here is an optimized crystal structure of Y6Te2AsSe from Alexandria. Energies are from PBE.

Cell lengths 7.405, 7.405, 5.950 Å; angles 90.00, 90.00, 90.00 degrees
Space group P4mm (No. 99)
Unique sites:
1 Y 0.000 0.000 0.000 [1 per cell]
2 Y 0.250 0.250 0.631 [4 per cell]
3 Y 0.500 0.500 0.987 [1 per cell]
4 Te 0.000 0.500 0.919 [2 per cell]
5 As 0.000 0.000 0.477 [1 per cell]
6 Se 0.500 0.500 0.459 [1 per cell]

* calculated total energy: -6.054 eV per atom
* calculated volume: 32.6 Å³ per atom
* DOS at the Fermi energy: 6.9 states/eV per cell
* formation energy without anion corrections: -0.734 eV/atom


Record 7
Here is an optimized crystal structure of ZrTiN3 from Alexandria. Energies are from PBE.

Cell lengths 3.845, 3.845, 3.845 Å; angles 90.00, 90.00, 90.00 degrees
Space group Pm-3m (No. 221)
Unique sites:
1 Zr 0.000 0.000 0.000 [1 per cell]
2 Ti 0.500 0.500 0.500 [1 per cell]
3 N 0.000 0.500 0.500 [3 per cell]

* calculated total energy: -8.695 eV per atom
* calculated volume: 11.4 Å³ per atom
* DOS at the Fermi energy: 3.2 states/eV per cell
* formation energy without anion corrections: -0.411 eV/atom


Record 8
Here is an optimized crystal structure of ZrB6W6 from Alexandria. Energies are from PBE.

Cell lengths 4.760, 7.792, 8.291 Å; angles 90.00, 90.00, 90.00 degrees
Space group Immm (No. 71)
Unique sites:
1 Zr 0.000 0.000 0.000 [2 per cell]
2 B 0.000 0.263 0.500 [4 per cell]
3 B 0.250 0.250 0.250 [8 per cell]
4 W 0.000 0.000 0.348 [4 per cell]
5 W 0.000 0.340 0.000 [4 per cell]
6 W 0.000 0.500 0.318 [4 per cell]

* calculated total energy: -9.430 eV per atom
* calculated volume: 11.8 Å³ per atom
* DOS at the Fermi energy: 11.7 states/eV per cell